[1]
PaGe2Pd7, relaxed, DFT PBE; space group = Cmmm (65); energy of formation = -0.317 eV/atom; D(E_F) = 0.53 states/eV/atom; electronic total energy = -5.825 eV/atom
1.0
3.7089 -6.1135 0.0000
3.7089 6.1135 0.0000
0.0000 0.0000 4.4208
Pa Ge Pd
1 2 7
Direct
0.0000 0.0000 0.0000
0.3050 0.6950 0.5000
0.6950 0.3050 0.5000
0.0650 0.3029 0.5000
0.2202 0.7798 0.0000
0.3029 0.0650 0.5000
0.5000 0.5000 0.5000
0.6971 0.9350 0.5000
0.7798 0.2202 0.0000
0.9350 0.6971 0.5000

[2]
Pa5Ge5Pd2, relaxed, DFT PBE; space group = C2/m (12); energy of formation = -0.506 eV/atom; D(E_F) = 1.45 states/eV/atom; energy relative to the lowest polymorph listed for this composition = 0 meV per atom; electronic total energy = -7.252 eV/atom
1.0
7.4583 -2.1003 0.0000
7.4583 2.1003 0.0000
-7.2631 0.0000 8.2416
Pa Ge Pd
5 5 2
Direct
0.0000 0.0000 0.0000
0.3143 0.3143 0.3980
0.3636 0.3636 0.1956
0.6364 0.6364 0.8044
0.6857 0.6857 0.6020
0.0000 0.0000 0.5000
0.0600 0.0600 0.3247
0.3106 0.3106 0.8871
0.6894 0.6894 0.1129
0.9400 0.9400 0.6753
0.3765 0.3765 0.7229
0.6235 0.6235 0.2771

[3]
Pa2Ge3Pd5, relaxed, DFT PBE; space group = Ibam (72); energy of formation = -0.590 eV/atom; D(E_F) = 0.84 states/eV/atom; energy relative to the lowest polymorph listed for this composition = 35 meV per atom; electronic total energy = -6.471 eV/atom
1.0
-5.5367 5.6571 2.9481
5.5367 -5.6571 2.9481
5.5367 5.6571 -2.9481
Pa Ge Pd
4 6 10
Direct
0.2195 0.1348 0.3543
0.2805 0.6348 0.9153
0.7195 0.3652 0.0847
0.7805 0.8652 0.6457
0.1238 0.8621 0.9859
0.2500 0.7500 0.5000
0.3762 0.3621 0.7383
0.6238 0.6379 0.2617
0.7500 0.2500 0.5000
0.8762 0.1379 0.0141
0.1636 0.4076 0.5712
0.2500 0.2500 0.0000
0.2500 0.5191 0.2691
0.2500 0.9809 0.7309
0.3364 0.9076 0.2441
0.6636 0.0924 0.7559
0.7500 0.0191 0.2691
0.7500 0.4809 0.7309
0.7500 0.7500 0.0000
0.8364 0.5924 0.4288

[4]
Pa2GePd, relaxed, DFT PBE; space group = R-3m (166); energy of formation = -0.046 eV/atom; D(E_F) = 1.28 states/eV/atom; energy relative to the lowest polymorph listed for this composition = 398 meV per atom; electronic total energy = -7.247 eV/atom
1.0
1.5740 0.9087 10.2783
-1.5740 0.9087 10.2783
0.0000 -1.8175 10.2783
Pa Ge Pd
2 1 1
Direct
0.0869 0.0869 0.0869
0.9131 0.9131 0.9131
0.5000 0.5000 0.5000
0.0000 0.0000 0.0000

[5]
Pa2GePd, relaxed, DFT PBE; space group = P2_1/m (11); energy of formation = -0.444 eV/atom; D(E_F) = 1.47 states/eV/atom; energy relative to the lowest polymorph listed for this composition = 0 meV per atom; electronic total energy = -7.645 eV/atom
1.0
5.9685 0.0000 0.0000
0.0000 3.9600 0.0000
-2.8837 0.0000 7.6362
Pa Ge Pd
4 2 2
Direct
0.2083 0.2500 0.4057
0.2076 0.2500 0.9372
0.7924 0.7500 0.0628
0.7917 0.7500 0.5943
0.3181 0.7500 0.6979
0.6819 0.2500 0.3021
0.3679 0.7500 0.2132
0.6321 0.2500 0.7868

[6]
PaGe2Pd2, relaxed, DFT PBE; space group = Cmc2_1 (36); energy of formation = -0.607 eV/atom; D(E_F) = 0.79 states/eV/atom; electronic total energy = -6.430 eV/atom
1.0
2.0618 -5.7210 0.0000
2.0618 5.7210 0.0000
0.0000 0.0000 7.8123
Pa Ge Pd
2 4 4
Direct
0.0914 0.9086 0.5000
0.9086 0.0914 0.0000
0.2411 0.7589 0.8171
0.4482 0.5518 0.6884
0.5518 0.4482 0.1884
0.7589 0.2411 0.3171
0.1874 0.8126 0.1317
0.3790 0.6210 0.3737
0.6210 0.3790 0.8737
0.8126 0.1874 0.6317

[7]
Pa2Ge2Pd, relaxed, DFT PBE; space group = C2/m (12); energy of formation = -0.579 eV/atom; D(E_F) = 1.40 states/eV/atom; energy relative to the lowest polymorph listed for this composition = 0 meV per atom; electronic total energy = -7.263 eV/atom
1.0
5.3131 -2.1504 0.0000
5.3131 2.1504 0.0000
-4.5870 0.0000 9.1547
Pa Ge Pd
4 4 2
Direct
0.0072 0.0072 0.3264
0.1856 0.1856 0.1051
0.8144 0.8144 0.8949
0.9928 0.9928 0.6736
0.3608 0.3608 0.4359
0.4671 0.4671 0.1124
0.5329 0.5329 0.8876
0.6392 0.6392 0.5641
0.2824 0.2824 0.6602
0.7176 0.7176 0.3398

[8]
Pa2GePd4, relaxed, DFT PBE; space group = Cmmm (65); energy of formation = 0.132 eV/atom; D(E_F) = 1.08 states/eV/atom; electronic total energy = -6.208 eV/atom
1.0
2.6701 -5.6305 0.0000
2.6701 5.6305 0.0000
0.0000 0.0000 5.2613
Pa Ge Pd
2 1 4
Direct
0.1372 0.8628 0.0000
0.8628 0.1372 0.0000
0.5000 0.5000 0.5000
0.1201 0.8799 0.5000
0.3834 0.6166 0.0000
0.6166 0.3834 0.0000
0.8799 0.1201 0.5000

[9]
PaGe3Pd3, relaxed, DFT PBE; space group = Pm-3n (223); energy of formation = -0.024 eV/atom; D(E_F) = 1.16 states/eV/atom; energy relative to the lowest polymorph listed for this composition = 337 meV per atom; electronic total energy = -5.585 eV/atom
1.0
6.7433 0.0000 0.0000
0.0000 6.7433 0.0000
0.0000 0.0000 6.7433
Pa Ge Pd
2 6 6
Direct
0.0000 0.0000 0.0000
0.5000 0.5000 0.5000
0.0000 0.2500 0.5000
0.0000 0.7500 0.5000
0.2500 0.5000 0.0000
0.5000 0.0000 0.2500
0.5000 0.0000 0.7500
0.7500 0.5000 0.0000
0.0000 0.5000 0.2500
0.0000 0.5000 0.7500
0.2500 0.0000 0.5000
0.5000 0.2500 0.0000
0.5000 0.7500 0.0000
0.7500 0.0000 0.5000

[10]
PaGe3Pd3, relaxed, DFT PBE; space group = R-3 (148); energy of formation = -0.362 eV/atom; D(E_F) = 0.74 states/eV/atom; energy relative to the lowest polymorph listed for this composition = 0 meV per atom; electronic total energy = -5.923 eV/atom
1.0
3.6205 2.0903 6.2312
-3.6205 2.0903 6.2312
0.0000 -4.1806 6.2312
Pa Ge Pd
2 6 6
Direct
0.1659 0.1659 0.1659
0.8341 0.8341 0.8341
0.1183 0.4205 0.7181
0.2819 0.8817 0.5795
0.4205 0.7181 0.1183
0.5795 0.2819 0.8817
0.7181 0.1183 0.4205
0.8817 0.5795 0.2819
0.0335 0.7310 0.3820
0.2690 0.6180 0.9665
0.3820 0.0335 0.7310
0.6180 0.9665 0.2690
0.7310 0.3820 0.0335
0.9665 0.2690 0.6180

[11]
PaGe3Pd5, relaxed, DFT PBE; space group = Cmcm (63); energy of formation = -0.450 eV/atom; D(E_F) = 0.89 states/eV/atom; electronic total energy = -5.930 eV/atom
1.0
1.8195 -6.7257 0.0000
1.8195 6.7257 0.0000
0.0000 0.0000 13.2300
Pa Ge Pd
2 6 10
Direct
0.1208 0.8792 0.7500
0.8792 0.1208 0.2500
0.1361 0.8639 0.2500
0.3775 0.6225 0.0453
0.3775 0.6225 0.4547
0.6225 0.3775 0.5453
0.6225 0.3775 0.9547
0.8639 0.1361 0.7500
0.0000 0.0000 0.0000
0.0000 0.0000 0.5000
0.2010 0.7990 0.0743
0.2010 0.7990 0.4257
0.4573 0.5427 0.6500
0.4573 0.5427 0.8500
0.5427 0.4573 0.1500
0.5427 0.4573 0.3500
0.7990 0.2010 0.5743
0.7990 0.2010 0.9257

[12]
Pa2GePd6, relaxed, DFT PBE; space group = C2/m (12); energy of formation = -0.617 eV/atom; D(E_F) = 1.01 states/eV/atom; electronic total energy = -6.702 eV/atom
1.0
4.9176 -2.8400 0.0000
4.9176 2.8400 0.0000
-0.0092 0.0000 5.8853
Pa Ge Pd
2 1 6
Direct
0.1666 0.1666 0.3134
0.8334 0.8334 0.6866
0.5000 0.5000 0.5000
0.1518 0.6741 0.1872
0.3259 0.3259 0.8120
0.3259 0.8482 0.8128
0.6741 0.1518 0.1872
0.6741 0.6741 0.1880
0.8482 0.3259 0.8128

[13]
Pa2Ge2Pd, relaxed, DFT PBE; space group = Cmc2_1 (36); energy of formation = -0.494 eV/atom; D(E_F) = 1.12 states/eV/atom; energy relative to the lowest polymorph listed for this composition = 84 meV per atom; electronic total energy = -7.178 eV/atom
1.0
2.2942 -7.4987 0.0000
2.2942 7.4987 0.0000
0.0000 0.0000 6.2609
Pa Ge Pd
4 4 2
Direct
0.9996 0.0004 0.0000
0.0004 0.9996 0.5000
0.2013 0.7987 0.8025
0.7987 0.2013 0.3025
0.1741 0.8259 0.2871
0.4231 0.5769 0.2404
0.5769 0.4231 0.7404
0.8259 0.1741 0.7871
0.3935 0.6065 0.6560
0.6065 0.3935 0.1560

[14]
PaGePd2, relaxed, DFT PBE; space group = P4/mmm (123); energy of formation = -0.380 eV/atom; D(E_F) = 1.25 states/eV/atom; energy relative to the lowest polymorph listed for this composition = 282 meV per atom; electronic total energy = -6.505 eV/atom
1.0
4.1536 0.0000 0.0000
0.0000 4.1536 0.0000
0.0000 0.0000 4.4373
Pa Ge Pd
1 1 2
Direct
0.0000 0.0000 0.0000
0.5000 0.5000 0.0000
0.0000 0.5000 0.5000
0.5000 0.0000 0.5000

[15]
Pa2Ge3Pd5, relaxed, DFT PBE; space group = Cmc2_1 (36); energy of formation = -0.625 eV/atom; D(E_F) = 0.76 states/eV/atom; energy relative to the lowest polymorph listed for this composition = 0 meV per atom; electronic total energy = -6.505 eV/atom
1.0
2.1831 -11.8767 0.0000
2.1831 11.8767 0.0000
0.0000 0.0000 6.9818
Pa Ge Pd
4 6 10
Direct
0.0192 0.9808 0.5000
0.3271 0.6729 0.5145
0.6729 0.3271 0.0145
0.9808 0.0192 0.0000
0.1070 0.8930 0.1866
0.2764 0.7236 0.0840
0.4474 0.5526 0.3062
0.5526 0.4474 0.8062
0.7236 0.2764 0.5840
0.8930 0.1070 0.6866
0.1094 0.8906 0.7899
0.2006 0.7994 0.3718
0.2258 0.7742 0.7753
0.3804 0.6196 0.0088
0.4500 0.5500 0.6888
0.5500 0.4500 0.1888
0.6196 0.3804 0.5088
0.7742 0.2258 0.2753
0.7994 0.2006 0.8718
0.8906 0.1094 0.2899

[16]
PmPaGePd, relaxed, DFT PBE; space group = F-43m (216); energy of formation = -0.399 eV/atom; D(E_F) = 2.00 states/eV/atom; electronic total energy = -6.414 eV/atom
1.0
0.0000 3.5936 3.5936
3.5936 0.0000 3.5936
3.5936 3.5936 0.0000
Pm Pa Ge Pd
1 1 1 1
Direct
0.0000 0.0000 0.0000
0.5000 0.5000 0.5000
0.7500 0.7500 0.7500
0.2500 0.2500 0.2500

[17]
Pa2Ge4PdPt3, relaxed, DFT PBE; space group = P-4m2 (115); energy of formation = -0.708 eV/atom; D(E_F) = 0.65 states/eV/atom; electronic total energy = -6.785 eV/atom
1.0
4.3467 0.0000 0.0000
0.0000 4.3467 0.0000
0.0000 0.0000 9.9043
Pa Ge Pd Pt
2 4 1 3
Direct
0.0000 0.5000 0.2469
0.5000 0.0000 0.7531
0.0000 0.0000 0.5000
0.0000 0.5000 0.8693
0.5000 0.0000 0.1307
0.5000 0.5000 0.5000
0.5000 0.5000 0.0000
0.0000 0.0000 0.0000
0.0000 0.5000 0.6249
0.5000 0.0000 0.3751

[18]
PaGePdPt, relaxed, DFT PBE; space group = F-43m (216); energy of formation = -0.545 eV/atom; D(E_F) = 0.96 states/eV/atom; electronic total energy = -6.882 eV/atom
1.0
0.0000 3.3596 3.3596
3.3596 0.0000 3.3596
3.3596 3.3596 0.0000
Pa Ge Pd Pt
1 1 1 1
Direct
0.0000 0.0000 0.0000
0.2500 0.2500 0.2500
0.5000 0.5000 0.5000
0.7500 0.7500 0.7500

[19]
PuPaGePd, relaxed, DFT PBE; space group = P3m1 (156); energy of formation = -0.045 eV/atom; D(E_F) = 1.46 states/eV/atom; energy relative to the lowest polymorph listed for this composition = 284 meV per atom; electronic total energy = -8.455 eV/atom
1.0
4.8381 0.0000 0.0000
-2.4191 4.1900 0.0000
0.0000 0.0000 4.8812
Pu Pa Ge Pd
1 1 1 1
Direct
0.0000 0.0000 0.0000
0.3333 0.6667 0.2185
0.6667 0.3333 0.9146
0.6667 0.3333 0.4264

[20]
PuPaGePd, relaxed, DFT PBE; space group = F-43m (216); energy of formation = -0.329 eV/atom; D(E_F) = 2.66 states/eV/atom; energy relative to the lowest polymorph listed for this composition = 0 meV per atom; electronic total energy = -8.738 eV/atom
1.0
0.0000 3.5399 3.5399
3.5399 0.0000 3.5399
3.5399 3.5399 0.0000
Pu Pa Ge Pd
1 1 1 1
Direct
0.0000 0.0000 0.0000
0.5000 0.5000 0.5000
0.7500 0.7500 0.7500
0.2500 0.2500 0.2500

[21]
Pu2PaGe2Pd2, relaxed, DFT PBE; space group = R-3m (166); energy of formation = -0.539 eV/atom; D(E_F) = 1.44 states/eV/atom; electronic total energy = -8.793 eV/atom
1.0
2.3138 1.3359 7.9172
-2.3138 1.3359 7.9172
0.0000 -2.6717 7.9172
Pu Pa Ge Pd
2 1 2 2
Direct
0.1284 0.1284 0.1284
0.8716 0.8716 0.8716
0.0000 0.0000 0.0000
0.2630 0.2630 0.2630
0.7370 0.7370 0.7370
0.3952 0.3952 0.3952
0.6048 0.6048 0.6048

[22]
PuPaGe2Pd2, relaxed, DFT PBE; space group = P-3m1 (164); energy of formation = -0.648 eV/atom; D(E_F) = 1.72 states/eV/atom; electronic total energy = -7.889 eV/atom
1.0
4.6598 0.0000 0.0000
-2.3299 4.0355 0.0000
0.0000 0.0000 6.1327
Pu Pa Ge Pd
1 1 2 2
Direct
0.0000 0.0000 0.0000
0.0000 0.0000 0.5000
0.3333 0.6667 0.7514
0.6667 0.3333 0.2486
0.3333 0.6667 0.2661
0.6667 0.3333 0.7339

[23]
PaGe2PdRh, relaxed, DFT PBE; space group = C2/m (12); energy of formation = -0.663 eV/atom; D(E_F) = 0.53 states/eV/atom; electronic total energy = -6.918 eV/atom
1.0
5.0329 -2.3014 0.0000
5.0329 2.3014 0.0000
-4.5944 0.0000 7.6299
Pa Ge Pd Rh
2 4 2 2
Direct
0.1901 0.1901 0.2057
0.8099 0.8099 0.7943
0.1486 0.1486 0.5309
0.4062 0.4062 0.0578
0.5938 0.5938 0.9422
0.8514 0.8514 0.4691
0.4352 0.4352 0.6083
0.5648 0.5648 0.3917
0.1125 0.1125 0.8026
0.8875 0.8875 0.1974